[1]
! PBE SrMnTlBr6, relaxed; values from VASP
! - Space-group type: P-31c
&SYSTEM
  ibrav = 0, nat = 18, ntyp = 4
/
ATOMIC_SPECIES
Br 79.90 Br.upf
Tl 204.38 Tl.upf
Mn 54.94 Mn.upf
Sr 87.62 Sr.upf
CELL_PARAMETERS angstrom
7.426 0.000 0.000
-3.713 6.431 0.000
0.000 0.000 13.644
ATOMIC_POSITIONS crystal
Br 0.951 0.339 0.138
Br 0.339 0.388 0.862
Br 0.049 0.661 0.862
Br 0.339 0.951 0.638
Tl 0.000 0.000 0.000
Br 0.661 0.612 0.138
Mn 0.333 0.667 0.750
Br 0.612 0.951 0.862
Br 0.388 0.339 0.362
Br 0.612 0.661 0.638
Br 0.951 0.612 0.362
Br 0.661 0.049 0.362
Tl 0.000 0.000 0.500
Sr 0.667 0.333 0.750
Sr 0.333 0.667 0.250
Br 0.049 0.388 0.638
Mn 0.667 0.333 0.250
Br 0.388 0.049 0.138

=====

[2]
! PBE HoCu2Pd8, relaxed; values from VASP
! - Space-group type: C2/m
! - Formation energy: -0.223 eV per atom
&SYSTEM
  ibrav = 0, nat = 11, ntyp = 3
/
ATOMIC_SPECIES
Pd 106.42 Pd.upf
Ho 164.93 Ho.upf
Cu 63.55 Cu.upf
CELL_PARAMETERS angstrom
-2.046 4.755 0.310
1.353 1.530 6.847
5.176 3.388 3.575
ATOMIC_POSITIONS crystal
Pd 0.645 0.647 0.159
Ho 0.000 0.000 0.000
Pd 0.355 0.353 0.841
Pd 0.835 0.589 0.589
Pd 0.645 0.159 0.647
Cu 0.493 0.242 0.242
Cu 0.507 0.758 0.758
Pd 0.023 0.768 0.768
Pd 0.977 0.232 0.232
Pd 0.355 0.841 0.353
Pd 0.165 0.411 0.411

=====

[3]
! PBE Na3Zn2Bi3, relaxed; values from VASP
! - Space-group type: Cmcm
! - Formation energy: -0.207 eV per atom
&SYSTEM
  ibrav = 0, nat = 16, ntyp = 3
/
ATOMIC_SPECIES
Zn 65.41 Zn.upf
Bi 208.98 Bi.upf
Na 22.99 Na.upf
CELL_PARAMETERS angstrom
-0.751 -1.505 -4.546
-4.761 -1.497 3.866
-7.230 14.059 -3.460
ATOMIC_POSITIONS crystal
Zn 0.217 0.433 0.106
Bi 0.627 0.254 0.468
Na 0.071 0.142 0.622
Bi 0.343 0.687 0.250
Zn 0.783 0.567 0.606
Bi 0.657 0.313 0.750
Na 0.644 0.287 0.250
Bi 0.373 0.746 0.968
Zn 0.217 0.433 0.394
Na 0.929 0.858 0.378
Na 0.356 0.713 0.750
Zn 0.783 0.567 0.894
Na 0.929 0.858 0.122
Bi 0.373 0.746 0.532
Bi 0.627 0.254 0.032
Na 0.071 0.142 0.878

=====

[4]
! PBE U2GaRu, relaxed; values from VASP
! - Space-group type: P4/mmm
! - Formation energy: -0.178 eV per atom
&SYSTEM
  ibrav = 0, nat = 4, ntyp = 3
/
ATOMIC_SPECIES
U 238.03 U.upf
Ru 101.07 Ru.upf
Ga 69.72 Ga.upf
CELL_PARAMETERS angstrom
4.341 0.000 0.000
0.000 4.087 0.000
0.000 0.000 4.087
ATOMIC_POSITIONS crystal
U 0.000 0.000 0.500
Ru 0.500 0.500 0.500
U 0.000 0.500 0.000
Ga 0.500 0.000 0.000

=====

[5]
! PBE Th3Co6Ge2, relaxed; values from VASP
! - Space-group type: Im-3m
! - Formation energy: -0.432 eV per atom
&SYSTEM
  ibrav = 0, nat = 22, ntyp = 3
/
ATOMIC_SPECIES
Ge 72.64 Ge.upf
Th 232.04 Th.upf
Co 58.93 Co.upf
CELL_PARAMETERS angstrom
-1.892 0.282 7.512
4.290 -6.313 -1.349
4.056 6.331 -1.882
ATOMIC_POSITIONS crystal
Ge 0.500 0.500 0.500
Th 0.713 0.713 0.000
Th 0.287 0.287 0.000
Co 0.653 0.000 0.347
Co 0.347 0.695 0.347
Co 0.305 0.653 0.653
Co 0.653 0.305 0.653
Co 0.695 0.347 0.347
Ge 0.500 0.000 0.000
Co 0.653 0.653 0.305
Th 0.000 0.713 0.713
Co 0.653 0.347 0.000
Co 0.347 0.653 0.000
Ge 0.000 0.000 0.500
Th 0.287 0.000 0.287
Co 0.347 0.000 0.653
Th 0.000 0.287 0.287
Co 0.000 0.653 0.347
Co 0.347 0.347 0.695
Co 0.000 0.347 0.653
Ge 0.000 0.500 0.000
Th 0.713 0.000 0.713

=====

[6]
! PBE Y2Th3Tc2, relaxed; values from VASP
! - Space-group type: C2/m
! - Formation energy: -0.128 eV per atom
&SYSTEM
  ibrav = 0, nat = 7, ntyp = 3
/
ATOMIC_SPECIES
Y 88.91 Y.upf
Th 232.04 Th.upf
Tc 98.00 Tc.upf
CELL_PARAMETERS angstrom
3.841 0.000 1.026
1.571 5.826 1.824
-0.215 0.237 8.513
ATOMIC_POSITIONS crystal
Y 0.836 0.518 0.810
Th 0.615 0.201 0.568
Th 0.385 0.799 0.432
Th 0.500 0.000 0.000
Tc 0.835 0.091 0.238
Y 0.164 0.482 0.190
Tc 0.165 0.909 0.762

=====

[7]
! PBE YHgP2S, relaxed; values from VASP
! - Space-group type: P4/mmm
&SYSTEM
  ibrav = 0, nat = 5, ntyp = 4
/
ATOMIC_SPECIES
Y 88.91 Y.upf
P 30.97 P.upf
S 32.06 S.upf
Hg 200.59 Hg.upf
CELL_PARAMETERS angstrom
-3.331 -1.959 -3.022
-0.830 -3.589 3.240
-3.578 2.767 2.149
ATOMIC_POSITIONS crystal
Y 0.500 0.500 0.500
P 0.000 0.500 0.000
P 0.500 0.000 0.000
S 0.000 0.000 0.500
Hg 0.000 0.000 0.000

=====

[8]
! PBE Ca3AsPd8Pb2, relaxed; values from VASP
! - Space-group type: P-3m1
! - Formation energy: -0.524 eV per atom
&SYSTEM
  ibrav = 0, nat = 14, ntyp = 4
/
ATOMIC_SPECIES
Pb 207.20 Pb.upf
Ca 40.08 Ca.upf
Pd 106.42 Pd.upf
As 74.92 As.upf
CELL_PARAMETERS angstrom
5.568 0.000 0.000
-2.784 4.822 0.000
0.000 0.000 10.422
ATOMIC_POSITIONS crystal
Pb 0.667 0.333 0.906
Ca 0.667 0.333 0.439
Pd 0.667 0.333 0.165
Pd 0.670 0.835 0.304
Pb 0.333 0.667 0.094
Pd 0.165 0.330 0.304
Pd 0.165 0.835 0.304
Pd 0.835 0.165 0.696
Ca 0.000 0.000 0.000
Ca 0.333 0.667 0.561
Pd 0.333 0.667 0.835
As 0.000 0.000 0.500
Pd 0.835 0.670 0.696
Pd 0.330 0.165 0.696

=====

[9]
! PBE ScSi2As, relaxed; values from VASP
! - Space-group type: I-4m2
&SYSTEM
  ibrav = 0, nat = 4, ntyp = 3
/
ATOMIC_SPECIES
Si 28.09 Si.upf
Sc 44.96 Sc.upf
As 74.92 As.upf
CELL_PARAMETERS angstrom
5.375 0.031 0.000
2.569 4.721 0.000
-3.972 -2.376 2.732
ATOMIC_POSITIONS crystal
Si 0.000 0.000 0.000
Sc 0.750 0.250 0.500
Si 0.250 0.750 0.500
As 0.500 0.500 0.000

=====

[10]
! PBE UNi3As3, relaxed; values from VASP
! - Space-group type: Pm-3n
! - Formation energy: -0.121 eV per atom
&SYSTEM
  ibrav = 0, nat = 14, ntyp = 3
/
ATOMIC_SPECIES
As 74.92 As.upf
Ni 58.69 Ni.upf
U 238.03 U.upf
CELL_PARAMETERS angstrom
6.365 0.000 0.000
0.000 6.365 0.000
0.000 0.000 6.365
ATOMIC_POSITIONS crystal
As 0.000 0.500 0.250
Ni 0.500 0.000 0.750
Ni 0.750 0.500 0.000
Ni 0.250 0.500 0.000
Ni 0.000 0.750 0.500
As 0.750 0.000 0.500
As 0.500 0.750 0.000
As 0.000 0.500 0.750
As 0.500 0.250 0.000
Ni 0.000 0.250 0.500
Ni 0.500 0.000 0.250
As 0.250 0.000 0.500
U 0.500 0.500 0.500
U 0.000 0.000 0.000

=====

[11]
! PBE UZnC, relaxed; values from VASP
! - Space-group type: P-3m1
! - Formation energy: 0.676 eV per atom
&SYSTEM
  ibrav = 0, nat = 6, ntyp = 3
/
ATOMIC_SPECIES
C 12.01 C.upf
U 238.03 U.upf
Zn 65.41 Zn.upf
CELL_PARAMETERS angstrom
-2.300 1.318 2.372
3.185 -1.168 1.070
3.555 8.517 -1.285
ATOMIC_POSITIONS crystal
C 0.667 0.333 0.291
C 0.333 0.667 0.709
U 0.667 0.333 0.593
Zn 0.667 0.333 0.906
U 0.333 0.667 0.407
Zn 0.333 0.667 0.094

=====

[12]
! PBE BaSmPu4N8, relaxed; values from VASP
! - Space-group type: R3m
&SYSTEM
  ibrav = 0, nat = 14, ntyp = 4
/
ATOMIC_SPECIES
Pu 244.00 Pu.upf
N 14.01 N.upf
Ba 137.33 Ba.upf
Sm 150.36 Sm.upf
CELL_PARAMETERS angstrom
6.940 0.000 0.000
3.470 6.010 0.000
3.470 2.003 5.756
ATOMIC_POSITIONS crystal
Pu 0.001 0.001 0.502
Pu 0.001 0.496 0.502
N 0.763 0.763 0.710
N 0.239 0.829 0.693
N 0.829 0.239 0.693
Ba 0.376 0.376 0.873
Pu 0.618 0.618 0.145
N 0.751 0.214 0.285
N 0.239 0.239 0.693
N 0.751 0.751 0.285
Pu 0.496 0.001 0.502
Sm 0.000 0.000 0.001
N 0.214 0.751 0.285
N 0.223 0.223 0.331

=====

| no. | V (Å³ per atom) | electronic total energy (eV per formula unit) |
| --- | --- | --- |
| 1 | 36.2 | -33.70 |
| 2 | 16.4 | -56.76 |
| 3 | 28.6 | -19.80 |
| 4 | 18.1 | -35.59 |
| 5 | 16.3 | -78.88 |
| 6 | 27.2 | -56.82 |
| 7 | 24.1 | -19.79 |
| 8 | 20.0 | -66.95 |
| 9 | 17.3 | -22.51 |
| 10 | 18.4 | -43.43 |
| 11 | 17.0 | -19.76 |
| 12 | 17.2 | -144.59 |